Material: Ca2TbFeO6
Method: DFT, GGA+U
State: relaxed

```
data_Ca2TbFeO6
_symmetry_space_group_name_H-M 'F m -3 m'
_symmetry_Int_Tables_number 225
_symmetry_space_group_name_Hall '-F 4 2 3'
_cell_length_a 8.060
_cell_length_b 8.060
_cell_length_c 8.060
_cell_angle_alpha 90.00
_cell_angle_beta 90.00
_cell_angle_gamma 90.00
loop_
_atom_site_label
_atom_site_type_symbol
_atom_site_fract_x
_atom_site_fract_y
_atom_site_fract_z
_atom_site_occupancy
Ca1 Ca 0.250 0.250 0.250 1
Tb1 Tb 0.000 0.000 0.000 1
Fe1 Fe 0.000 0.000 0.500 1
O1 O 0.000 0.000 0.269 1
```

Values from the calculation:
- Uncorrected energy: -6.6212 eV/atom
- D(E_F): 0.00 states/eV/atom
- Crystal system: cubic